(1)
The following is a GGA-PBE calculation of crystalline HfTiRu2 at its relaxed geometry, from Alexandria.

For the raw total energy, the calculation gives -39.45 eV per formula unit. The density of states at the Fermi level is 1.84 states/eV/cell. The total moment comes out at 0.00 μB/f.u.

It has space group Pmma (No. 51), with a = 4.4898 Å, b = 3.1641 Å, c = 8.9398 Å, α = 90.00°, β = 90.00° and γ = 90.00°. The distinct sites, in fractional coordinates, are Hf at (0.2500, 0.0000, 0.1304), Ti at (0.2500, 0.0000, 0.6194), Ru at (0.2500, 0.5000, 0.3828) and Ru at (0.2500, 0.5000, 0.8678).


(2)
The following is a GGA-PBE calculation of crystalline HfTi2Ru at its relaxed geometry, from Alexandria.

For the raw total energy, the calculation gives -36.41 eV per formula unit. The density of states at the Fermi level is 3.62 states/eV/cell. The total moment comes out at 0.00 μB/f.u.

It has space group P4/mmm (No. 123), with a = 3.1067 Å, b = 3.1067 Å, c = 7.0581 Å, α = 90.00°, β = 90.00° and γ = 90.00°. The distinct sites, in fractional coordinates, are Hf at (0.0000, 0.0000, 0.0000), Ti at (0.5000, 0.5000, 0.2856) and Ru at (0.0000, 0.0000, 0.5000).


(3)
The following is a GGA-PBE calculation of crystalline Hf4TiRu at its relaxed geometry, from Alexandria.

For the raw total energy, the calculation gives -55.39 eV per formula unit. The density of states at the Fermi level is 6.12 states/eV/cell. The total moment comes out at 0.59 μB/f.u.

It has space group P4/mmm (No. 123), with a = 4.4764 Å, b = 4.4764 Å, c = 6.7167 Å, α = 90.00°, β = 90.00° and γ = 90.00°. The distinct sites, in fractional coordinates, are Hf at (0.0000, 0.5000, 0.2371), Ti at (0.0000, 0.0000, 0.5000) and Ru at (0.5000, 0.5000, 0.0000).


(4)
The following is a GGA-PBE calculation of crystalline Hf4TiRu5 at its relaxed geometry, from Alexandria.

For the raw total energy, the calculation gives -101.96 eV per formula unit. The density of states at the Fermi level is 3.73 states/eV/cell. The total moment comes out at 0.00 μB/f.u.

It has space group P4/mmm (No. 123), with a = 3.2113 Å, b = 3.2113 Å, c = 16.0654 Å, α = 90.00°, β = 90.00° and γ = 90.00°. The distinct sites, in fractional coordinates, are Hf at (0.0000, 0.0000, 0.1018), Hf at (0.0000, 0.0000, 0.3051), Ti at (0.0000, 0.0000, 0.5000), Ru at (0.5000, 0.5000, 0.0000), Ru at (0.5000, 0.5000, 0.2028) and Ru at (0.5000, 0.5000, 0.4060).


It is found that the DFT formation energy values, taken in the order of the records, are -0.76, -0.35, 0.27, -0.79 eV per atom.